Record 1
GGA-PBE Zr6Mn2Bi, relaxed; formation energy from the elements = -0.068 eV/atom; space group = Immm, No. 71
1.0
7.470 0.293 -2.588
-4.173 6.431 -1.950
-0.153 -0.293 7.904
Zr Mn Bi
12 4 2
direct
0.481 0.283 0.198
0.519 0.717 0.802
0.915 0.717 0.198
0.085 0.283 0.802
0.220 0.756 0.976
0.780 0.244 0.024
0.780 0.756 0.536
0.220 0.244 0.464
0.310 0.991 0.681
0.690 0.009 0.319
0.690 0.371 0.681
0.310 0.629 0.319
0.500 0.392 0.892
0.500 0.608 0.108
0.342 0.000 0.342
0.658 0.000 0.658
0.000 0.500 0.500
0.000 0.000 0.000



Record 2
GGA-PBE Zr2Mn2Bi, relaxed; relative energy among the computed polymorphs = 0 kJ/mol of formula units; formation energy from the elements = -0.031 eV/atom; space group = P4/mbm, No. 127
1.0
7.288 0.000 0.000
0.000 7.288 0.000
0.000 0.000 3.672
Mn Bi Zr
4 2 4
direct
0.378 0.878 0.000
0.878 0.622 0.000
0.622 0.122 0.000
0.122 0.378 0.000
0.000 0.000 0.000
0.500 0.500 0.000
0.170 0.670 0.500
0.670 0.830 0.500
0.830 0.330 0.500
0.330 0.170 0.500



Record 3
GGA-PBE Zr2Mn2Bi, relaxed; relative energy among the computed polymorphs = 197 kJ/mol of formula units; formation energy from the elements = 0.378 eV/atom; space group = I4/mmm, No. 139
1.0
-2.476 -3.308 1.560
2.467 -0.121 3.661
-3.185 1.732 4.868
Mn Bi Zr
2 1 2
direct
0.400 0.400 0.200
0.600 0.600 0.800
0.000 0.000 0.000
0.750 0.250 0.500
0.250 0.750 0.500



Record 4
GGA-PBE BiMo4, relaxed; formation energy from the elements = 2.783 eV/atom; space group = Pm-3m, No. 221
1.0
-2.072 0.577 4.471
3.411 -3.016 1.970
2.947 3.896 0.863
Mo Bi
4 1
direct
0.000 0.000 0.000
0.500 0.000 0.500
0.000 0.500 0.500
0.500 0.500 0.000
0.500 0.500 0.500



Record 5
GGA-PBE BiMo, relaxed; relative energy among the computed polymorphs = 22 kJ/mol of formula units; formation energy from the elements = 0.640 eV/atom; space group = Pmmn, No. 59
1.0
-2.910 -1.528 -2.986
0.625 -6.423 2.676
-7.196 1.830 6.075
Bi Mo
6 6
direct
0.000 0.673 0.822
0.500 0.327 0.678
0.500 0.327 0.322
0.000 0.673 0.178
0.000 0.949 0.500
0.500 0.051 0.000
0.000 0.098 0.788
0.500 0.902 0.712
0.500 0.902 0.288
0.000 0.098 0.212
0.000 0.316 0.000
0.500 0.684 0.500



Record 6
GGA-PBE BiMo, relaxed; relative energy among the computed polymorphs = 0 kJ/mol of formula units; formation energy from the elements = 0.527 eV/atom; space group = P4/m, No. 83
1.0
10.166 0.000 0.000
0.000 10.166 0.000
0.000 0.000 4.297
Bi Mo
8 8
direct
0.701 0.359 0.500
0.299 0.641 0.500
0.641 0.701 0.500
0.359 0.299 0.500
0.880 0.782 0.000
0.120 0.218 0.000
0.218 0.880 0.000
0.782 0.120 0.000
0.893 0.561 0.500
0.107 0.439 0.500
0.439 0.893 0.500
0.561 0.107 0.500
0.914 0.417 0.000
0.086 0.583 0.000
0.583 0.914 0.000
0.417 0.086 0.000



Record 7
GGA-PBE BiMo, relaxed; relative energy among the computed polymorphs = 50 kJ/mol of formula units; formation energy from the elements = 0.787 eV/atom; space group = I-43m, No. 217
1.0
-1.663 3.470 -7.617
-7.725 2.355 2.759
3.224 7.433 2.682
Bi Mo
8 8
direct
0.300 0.300 0.300
0.300 0.700 0.700
0.700 0.300 0.700
0.700 0.700 0.300
0.800 0.800 0.800
0.800 0.200 0.200
0.200 0.800 0.200
0.200 0.200 0.800
0.106 0.106 0.106
0.106 0.894 0.894
0.894 0.106 0.894
0.894 0.894 0.106
0.606 0.606 0.606
0.606 0.394 0.394
0.394 0.606 0.394
0.394 0.394 0.606



Record 8
GGA-PBE BiMo, relaxed; relative energy among the computed polymorphs = 145 kJ/mol of formula units; formation energy from the elements = 1.276 eV/atom; space group = P6_3/mmc, No. 194
1.0
-2.093 4.008 1.970
-1.430 -1.598 -4.441
-3.946 -3.263 2.445
Bi Mo
2 2
direct
0.333 0.667 0.750
0.667 0.333 0.250
0.333 0.667 0.250
0.667 0.333 0.750



Record 9
GGA-PBE BiMo, relaxed; relative energy among the computed polymorphs = 39 kJ/mol of formula units; formation energy from the elements = 0.731 eV/atom; space group = P6_3/m, No. 176
1.0
-5.551 0.887 9.455
0.307 -9.625 -5.315
2.767 -0.853 1.705
Bi Mo
6 6
direct
0.898 0.238 0.250
0.659 0.898 0.750
0.762 0.659 0.250
0.102 0.762 0.750
0.341 0.102 0.250
0.238 0.341 0.750
0.584 0.077 0.250
0.507 0.584 0.750
0.923 0.507 0.250
0.416 0.923 0.750
0.493 0.416 0.250
0.077 0.493 0.750



Record 10
GGA-PBE BiMo, relaxed; relative energy among the computed polymorphs = 31 kJ/mol of formula units; formation energy from the elements = 0.689 eV/atom; space group = Fddd, No. 70
1.0
-3.632 1.357 -7.027
3.906 -7.377 -3.443
-8.215 -5.808 3.125
Bi Mo
16 16
direct
0.000 0.802 0.000
0.000 0.198 0.000
0.250 0.948 0.250
0.250 0.552 0.250
0.000 0.302 0.500
0.000 0.698 0.500
0.250 0.448 0.750
0.250 0.052 0.750
0.500 0.802 0.500
0.500 0.198 0.500
0.750 0.948 0.750
0.750 0.552 0.750
0.500 0.302 0.000
0.500 0.698 0.000
0.750 0.448 0.250
0.750 0.052 0.250
0.357 0.000 0.000
0.643 0.000 0.000
0.893 0.750 0.250
0.607 0.750 0.250
0.357 0.500 0.500
0.643 0.500 0.500
0.893 0.250 0.750
0.607 0.250 0.750
0.857 0.000 0.500
0.143 0.000 0.500
0.393 0.750 0.750
0.107 0.750 0.750
0.857 0.500 0.000
0.143 0.500 0.000
0.393 0.250 0.250
0.107 0.250 0.250



Record 11
GGA-PBE Bi4Mo, relaxed; formation energy from the elements = 0.572 eV/atom; space group = Pm-3m, No. 221
1.0
5.405 0.000 0.000
0.000 5.405 0.000
0.000 0.000 5.405
Mo Bi
1 4
direct
0.500 0.500 0.500
0.000 0.000 0.000
0.500 0.000 0.500
0.000 0.500 0.500
0.500 0.500 0.000



Record 12
GGA-PBE BiMo, relaxed; relative energy among the computed polymorphs = 115 kJ/mol of formula units; formation energy from the elements = 1.121 eV/atom; space group = Fm-3m, No. 225
1.0
-0.700 -2.401 5.228
-5.165 -2.059 -1.638
2.536 -4.857 -1.891
Bi Mo
4 4
direct
0.500 0.500 0.500
0.500 0.000 0.000
0.000 0.500 0.000
0.000 0.000 0.500
0.000 0.000 0.000
0.000 0.500 0.500
0.500 0.000 0.500
0.500 0.500 0.000